[1]
Compound: RbCr2CoC
Source: Alexandria via LeMat-Bulk
Functional: PBE
Structure: optimized geometry

Cell: 4.5258 4.5258 6.2639 Å, 90.00 90.00 90.00°
Space group P4/mmm (No. 123)
One atom of each set of equivalent atoms:
Rb 0.0000 0.0000 0.0000 (multiplicity 1)
Cr 0.0000 0.5000 0.5000 (multiplicity 2)
Co 0.0000 0.0000 0.5000 (multiplicity 1)
C 0.5000 0.5000 0.0000 (multiplicity 1)

Summary:
D(E_F): 0.819 states/eV/atom
energy relative to the elements: 2.21 eV/atom



[2]
Compound: Pm5Mg2In
Source: Alexandria via LeMat-Bulk
Functional: PBE
Structure: optimized geometry

Cell: 7.9800 7.9800 7.5282 Å, 90.00 90.00 90.00°
Space group I4mm (No. 107)
One atom of each set of equivalent atoms:
Pm 0.0000 0.0000 0.0000 (multiplicity 2)
Pm 0.2501 0.2501 0.2494 (multiplicity 8)
Mg 0.0000 0.5000 0.0002 (multiplicity 4)
In 0.0000 0.0000 0.4989 (multiplicity 2)

Summary:
D(E_F): 1.268 states/eV/atom
energy relative to the elements: -0.13 eV/atom



[3]
Compound: Pm6TeP3S2
Source: Alexandria via LeMat-Bulk
Functional: PBE
Structure: optimized geometry

Cell: 18.2107 4.1416 8.3849 Å, 90.00 104.11 90.00°
Space group C2/m (No. 12)
One atom of each set of equivalent atoms:
Pm 0.0010 0.0000 0.2264 (multiplicity 4)
Pm 0.1651 0.5000 0.0879 (multiplicity 4)
Pm 0.1757 0.5000 0.5817 (multiplicity 4)
Te 0.0000 0.5000 0.5000 (multiplicity 2)
P 0.0000 0.5000 0.0000 (multiplicity 2)
P 0.1647 0.0000 0.3311 (multiplicity 4)
S 0.1684 0.0000 0.8347 (multiplicity 4)

Summary:
D(E_F): 0.348 states/eV/atom
formation energy (no corrections): -1.7385 eV/atom



[4]
Compound: YTm5Hg6
Source: Alexandria via LeMat-Bulk
Functional: PBE
Structure: optimized geometry

Cell: 5.1918 7.3787 8.2297 Å, 90.00 108.01 90.00°
Space group P2/m (No. 10)
One atom of each set of equivalent atoms:
Y 0.0000 0.0000 0.0000 (multiplicity 1)
Tm 0.0000 0.5000 0.0000 (multiplicity 1)
Tm 0.3324 0.0000 0.6650 (multiplicity 2)
Tm 0.3343 0.5000 0.6687 (multiplicity 2)
Hg 0.1682 0.2527 0.3361 (multiplicity 4)
Hg 0.5000 0.2529 0.0000 (multiplicity 2)

Summary:
D(E_F): 0.672 states/eV/atom
energy relative to the elements: -0.48 eV/atom



[5]
Compound: VHgS2
Source: Alexandria via LeMat-Bulk
Functional: PBE
Structure: optimized geometry

Cell: 3.6125 21.0629 4.4660 Å, 90.00 90.00 90.00°
Space group Cmcm (No. 63)
One atom of each set of equivalent atoms:
V 0.0000 0.0506 0.2500 (multiplicity 4)
Hg 0.0000 0.3131 0.2500 (multiplicity 4)
S 0.0000 0.0588 0.7500 (multiplicity 4)
S 0.0000 0.1699 0.2500 (multiplicity 4)

Summary:
D(E_F): 0.707 states/eV/atom
formation energy (no corrections): -0.0902 eV/atom



[6]
Compound: Ac2Tm3Sn4
Source: Alexandria via LeMat-Bulk
Functional: PBE
Structure: optimized geometry

Cell: 7.1332 17.5516 8.9949 Å, 90.00 90.00 90.00°
Space group Cmce (No. 64)
One atom of each set of equivalent atoms:
Ac 0.0000 0.1108 0.0872 (multiplicity 8)
Tm 0.0000 0.0000 0.5000 (multiplicity 4)
Tm 0.2500 0.2095 0.7500 (multiplicity 8)
Sn 0.0000 0.1877 0.4490 (multiplicity 8)
Sn 0.2500 0.0378 0.7500 (multiplicity 8)

Summary:
D(E_F): 0.473 states/eV/atom
energy relative to the elements: -0.66 eV/atom



[7]
Compound: Er2Tm3Ru3
Source: Alexandria via LeMat-Bulk
Functional: PBE
Structure: optimized geometry

Cell: 3.4240 5.0255 20.3704 Å, 90.00 90.00 90.00°
Space group Immm (No. 71)
One atom of each set of equivalent atoms:
Er 0.0000 0.0000 0.2188 (multiplicity 4)
Tm 0.0000 0.0000 0.0000 (multiplicity 2)
Tm 0.0000 0.5000 0.1103 (multiplicity 4)
Ru 0.0000 0.0000 0.5000 (multiplicity 2)
Ru 0.0000 0.5000 0.3854 (multiplicity 4)

Summary:
D(E_F): 0.524 states/eV/atom
energy relative to the elements: -0.36 eV/atom



[8]
Compound: Ce4Bi3N
Source: Alexandria via LeMat-Bulk
Functional: PBE
Structure: optimized geometry

Cell: 12.2915 6.4753 6.4774 Å, 90.00 90.00 90.00°
Space group Pmn2_1 (No. 31)
One atom of each set of equivalent atoms:
Ce 0.0000 0.1561 0.0000 (multiplicity 2)
Ce 0.0000 0.7432 0.4013 (multiplicity 2)
Ce 0.2226 0.7555 0.9969 (multiplicity 4)
Bi 0.0000 0.2413 0.4996 (multiplicity 2)
Bi 0.2497 0.2588 0.0000 (multiplicity 4)
N 0.0000 0.8259 0.0733 (multiplicity 2)

Summary:
D(E_F): 3.313 states/eV/atom
formation energy (no corrections): -0.7675 eV/atom



Which value of D(E_F) does entry 1 give?
0.819 states/eV/atom